First-principles (PBE) data for an optimized crystal structure of Ag2OsRu, as listed in Alexandria via LeMat-Bulk. Values from VASP.

Geometry as Quantum ESPRESSO input:
```
&SYSTEM
  ibrav = 0, nat = 4, ntyp = 3
/
ATOMIC_SPECIES
Ag 107.87 Ag.upf
Os 190.23 Os.upf
Ru 101.07 Ru.upf
ATOMIC_POSITIONS crystal
Ag 0.000 0.000 0.998
Ag 0.000 0.000 0.502
Os 0.500 0.500 0.250
Ru 0.500 0.500 0.750
CELL_PARAMETERS angstrom
-2.317 0.873 1.128
0.005 -0.742 -2.618
-2.228 -9.322 2.638
```

E_form, eV per atom: 0.704